Pr2GaNi9: relaxed, PBE.

## Properties
Symmetry: R-3m
Total DFT energy (no corrections), eV/atom: -5.518
DFT formation energy, meV/atom: -133

Unit cell a=4.9425 b=4.9425 c=8.7301 alpha=73.56 beta=73.56 gamma=60.00
With the nearest neighbours (Å) after each atom.
Positions (direct):
1 Pr 0.8660 0.8660 0.4020  9 Ni 2.82-2.97
2 Pr 0.1340 0.1340 0.5980  9 Ni 2.82-2.97
3 Ga 0.0000 0.0000 0.0000  18 Ni 2.85-3.16
4 Ni 0.6672 0.6672 0.9984  6 Ni 2.42-2.44
5 Ni 0.3328 0.3328 0.0016  6 Ni 2.42-2.44
6 Ni 0.5000 0.5000 0.5000  6 Ni 2.59
7 Ni 0.4209 0.4209 0.2380  7 Ni 2.42-2.59
8 Ni 0.9202 0.4209 0.2380  7 Ni 2.42-2.59
9 Ni 0.4209 0.9202 0.2380  7 Ni 2.42-2.59
10 Ni 0.5791 0.5791 0.7620  7 Ni 2.42-2.59
11 Ni 0.5791 0.0798 0.7620  7 Ni 2.42-2.59
12 Ni 0.0798 0.5791 0.7620  7 Ni 2.42-2.59